## a
First-principles (GGA-PBE) data for crystalline DyScO at its relaxed geometry, as listed in the Alexandria database.

abc: 3.9869 3.9869 7.4584
angles: 90.00 90.00 90.00
Space group P4_2/mmc (No. 131)
Unique sites:
1 Dy 0.0000 0.0000 0.2500
2 Sc 0.5000 0.5000 0.0000
3 O 0.0000 0.5000 0.0000

Computed properties:
crystal system: tetragonal

***

## b
First-principles (GGA-PBE) data for crystalline DyScO at its relaxed geometry, as listed in the Alexandria database.

abc: 3.3754 3.3754 5.5321
angles: 90.00 90.00 120.00
Space group P3m1 (No. 156)
Unique sites:
1 Dy 0.0000 0.0000 0.0000
2 Sc 0.6667 0.3333 0.5302
3 O 0.3333 0.6667 0.7361

Computed properties:
crystal system: trigonal

***

## c
First-principles (GGA-PBE) data for crystalline DyScO at its relaxed geometry, as listed in the Alexandria database.

abc: 4.2647 4.2647 6.5602
angles: 90.00 90.00 90.00
Space group P4/nmm (No. 129, origin choice 2)
Unique sites:
1 Dy 0.2500 0.2500 0.0841
2 Sc 0.2500 0.7500 0.5000
3 O 0.2500 0.2500 0.4244

Computed properties:
crystal system: tetragonal

***

Which structure loses on stability? a does.